Computed, not measured: CoTcOs2 after structural relaxation at the PBE-GGA level of DFT.

formation energy = 100 meV per atom
crystal system = tetragonal
total magnetization = 0.0 μB/cell
ΔE to the lowest computed polymorph = 0 meV per atom
energy = -39.53 eV for the cell shown

a b c (Å): 3.7849 3.7849 3.7606
angles (deg): 90.00 90.00 90.00
Closest atoms and distances in Å follow each position.
Space group P4/mmm (No. 123)
One atom of each set of equivalent atoms:
Co 0.0000 0.0000 0.0000  8 Os 2.67, 4 Tc 2.68
Tc 0.5000 0.5000 0.0000  8 Os 2.67, 4 Co 2.68
Os 0.0000 0.5000 0.5000  4 Co 2.67, 4 Tc 2.67, 4 Os 2.68